VASP calculation (GGA-PBE) on crystalline BaTbAs2Pd5 at its relaxed geometry.

The calculation puts the calculated formation energy at -0.62 eV per atom. Its total energy is -5.269 eV/atom. The theoretical density is 7.7 Mg/m³. The magnetic moment comes out at 0.00 μB per formula unit.

Cell lengths 4.6369, 4.6369, 9.8199 Å; angles 90.00, 90.00, 90.00 degrees
Fractional positions:
1 Ba 0.0000 0.0000 0.0000
2 Tb 0.0000 0.0000 0.5000
3 As 0.5000 0.5000 0.2447
4 As 0.5000 0.5000 0.7553
5 Pd 0.0000 0.5000 0.3231
6 Pd 0.0000 0.5000 0.6769
7 Pd 0.5000 0.0000 0.3231
8 Pd 0.5000 0.0000 0.6769
9 Pd 0.5000 0.5000 0.0000